## LiPr2Dy3Te6 (PBE-GGA)

Data for LiPr2Dy3Te6 after structural relaxation. Values from VASP.

Geometry as Quantum ESPRESSO input:
```
&SYSTEM
  ibrav = 0, nat = 12, ntyp = 4
/
ATOMIC_SPECIES
Li 6.94 Li.upf
Pr 140.91 Pr.upf
Dy 162.50 Dy.upf
Te 127.60 Te.upf
CELL_PARAMETERS angstrom
9.640 -2.195 0.000
9.640 2.195 0.000
-2.080 0.000 8.606
ATOMIC_POSITIONS crystal
Li 0.000 0.000 0.000
Pr 0.330 0.330 0.658
Pr 0.670 0.670 0.342
Dy 0.000 0.000 0.500
Dy 0.330 0.330 0.168
Dy 0.670 0.670 0.832
Te 0.161 0.161 0.592
Te 0.162 0.162 0.072
Te 0.497 0.497 0.244
Te 0.503 0.503 0.756
Te 0.838 0.838 0.928
Te 0.839 0.839 0.408
```

Results
**Uncorrected formation energy**: -1352 meV/atom
**Calculated density**: 7.03 g/cm3
**Space group**: No. 12
**M_tot**: 0.000 μB/f.u.
**N(E_F)**: 0.31 states/eV per atom